[1]
Computed, not measured: a relaxed NiSb crystal at the PBE-GGA level of DFT.

It has space group Imm2 (No. 44), with a = 3.682 Å, b = 10.989 Å, c = 5.174 Å, α = 90.00°, β = 90.00° and γ = 90.00°. The asymmetric unit holds Ni at (0.000, 0.000, 0.000), Ni at (0.000, 0.370, 0.197), Sb at (0.000, 0.000, 0.497) and Sb at (0.000, 0.310, 0.672).

The calculation puts the spin magnetization at 0.00 μB per formula unit. Its final energy is -60.27 eV/cell. The volume comes out at 209.3 Å³ per cell. The calculation puts the uncorrected formation energy at -0.07 eV per atom.


[2]
Computed, not measured: a relaxed NiSb crystal at the PBE-GGA level of DFT.

It has space group R-3m (No. 166, hexagonal axes), with a = 3.9364 Å, b = 3.9364 Å, c = 17.8248 Å, α = 90.00°, β = 90.00° and γ = 120.00°. The asymmetric unit holds Ni at (0.0000, 0.0000, 0.1465) and Sb at (0.0000, 0.0000, 0.4125).

The calculation puts the spin magnetization at 0.00 μB per formula unit. Its final energy is -60.36 eV/cell. The volume comes out at 239.2 Å³ per cell. The calculation puts the uncorrected formation energy at -0.08 eV per atom.


[3]
Computed, not measured: a relaxed NiSb2 crystal at the PBE-GGA level of DFT.

It has space group P6_3/mmc (No. 194), with a = 4.8574 Å, b = 4.8574 Å, c = 7.1539 Å, α = 90.00°, β = 90.00° and γ = 120.00°. The asymmetric unit holds Ni at (0.0000, 0.0000, 0.2500) and Sb at (0.3333, 0.6667, 0.0538).

The calculation puts the spin magnetization at 0.00 μB per formula unit. Its final energy is -23.96 eV/cell. The volume comes out at 146.2 Å³ per cell. The calculation puts the uncorrected formation energy at 0.68 eV per atom.


[4]
Computed, not measured: a relaxed NiSb crystal at the PBE-GGA level of DFT.

It has space group Cm (No. 8), with a = 8.348 Å, b = 3.590 Å, c = 7.640 Å, α = 90.00°, β = 99.03° and γ = 90.00°. The asymmetric unit holds Ni at (0.000, 0.000, 0.000), Ni at (0.098, 0.500, 0.243), Ni at (0.198, 0.500, 0.908), Sb at (0.088, 0.000, 0.480), Sb at (0.297, 0.000, 0.156) and Sb at (0.388, 0.000, 0.766).

The calculation puts the spin magnetization at 0.00 μB per formula unit. Its final energy is -59.93 eV/cell. The volume comes out at 226.1 Å³ per cell. The calculation puts the uncorrected formation energy at -0.04 eV per atom.


[5]
Computed, not measured: a relaxed Ni7Sb crystal at the PBE-GGA level of DFT.

It has space group R-3m (No. 166, hexagonal axes), with a = 4.0654 Å, b = 4.0654 Å, c = 20.0896 Å, α = 90.00°, β = 90.00° and γ = 120.00°. The asymmetric unit holds Ni at (0.0000, 0.0000, 0.0000), Ni at (0.0000, 0.0000, 0.1210), Ni at (0.0000, 0.0000, 0.2547), Ni at (0.0000, 0.0000, 0.3726) and Sb at (0.0000, 0.0000, 0.5000).

The calculation puts the spin magnetization at 1.43 μB per formula unit. Its final energy is -133.52 eV/cell. The volume comes out at 287.6 Å³ per cell. The calculation puts the uncorrected formation energy at 0.01 eV per atom.


[6]
Computed, not measured: a relaxed NiSb crystal at the PBE-GGA level of DFT.

It has space group I4_1/amd (No. 141, origin choice 2), with a = 3.816 Å, b = 3.816 Å, c = 9.701 Å, α = 90.00°, β = 90.00° and γ = 90.00°. The asymmetric unit holds Ni at (0.000, 0.250, 0.375) and Sb at (0.000, 0.250, 0.875).

The calculation puts the spin magnetization at 0.00 μB per formula unit. Its final energy is -38.09 eV/cell. The volume comes out at 141.3 Å³ per cell. The calculation puts the uncorrected formation energy at 0.19 eV per atom.


[7]
Computed, not measured: a relaxed NiSb crystal at the PBE-GGA level of DFT.

It has space group F-43m (No. 216), with a = 5.706 Å, b = 5.706 Å, c = 5.706 Å, α = 90.00°, β = 90.00° and γ = 90.00°. The asymmetric unit holds Ni at (0.000, 0.000, 0.000) and Sb at (0.250, 0.250, 0.750).

The calculation puts the spin magnetization at 0.00 μB per formula unit. Its final energy is -38.15 eV/cell. The volume comes out at 185.7 Å³ per cell. The calculation puts the uncorrected formation energy at 0.18 eV per atom.


[8]
Computed, not measured: a relaxed NiSb3 crystal at the PBE-GGA level of DFT.

It has space group P4/mmm (No. 123), with a = 3.160 Å, b = 3.160 Å, c = 9.191 Å, α = 90.00°, β = 90.00° and γ = 90.00°. The asymmetric unit holds Ni at (0.000, 0.000, 0.000), Sb at (0.000, 0.000, 0.500) and Sb at (0.500, 0.500, 0.181).

The calculation puts the excess energy over the best structure of this formula in the dataset at 0.243 eV/atom. The calculation puts the spin magnetization at 0.00 μB per formula unit. Its final energy is -17.77 eV/cell. The volume comes out at 91.8 Å³ per cell. The calculation puts the uncorrected formation energy at 0.10 eV per atom.


Question: Among the records above, which one has the highest volume?
Answer: Ni7Sb


Question: Number 4 is which compound?
Answer: NiSb


Question: volume of number 6 (NiSb)?
Answer: 141.3 Å³ per cell